1.
## BaTbMn2O5 (GGA+U)

Data for a relaxed BaTbMn2O5 crystal.

Results
E in eV/atom: -7.55
Crystal system: tetragonal
DOS at the Fermi energy in states/eV per atom: 0.184

a b c (Å): 3.9787 3.9787 7.8421
angles (deg): 90.00 90.00 90.00
Last column: magnetic moment on the atom in μB.
Atoms (fractional coordinates):
O (0.0000, 0.5000, 0.3191)  -0.01
O (0.5000, 0.0000, 0.3191)  -0.01
O (0.0000, 0.5000, 0.6809)  -0.01
O (0.5000, 0.0000, 0.6809)  -0.01
O (0.0000, 0.0000, 0.0000)  0.10
Mn (0.0000, 0.0000, 0.7341)  4.27
Mn (0.0000, 0.0000, 0.2659)  4.27
Ba (0.5000, 0.5000, 0.0000)  0.00
Tb (0.5000, 0.5000, 0.5000)  0.03

---

2.
## BaTb2Mn2O7 (GGA+U)

Data for a relaxed BaTb2Mn2O7 crystal.

Results
E in eV/atom: -7.65
Crystal system: tetragonal
DOS at the Fermi energy in states/eV per atom: 0.065

a b c (Å): 10.4663 10.4663 10.4663
angles (deg): 158.31 158.31 30.87
Last column: magnetic moment on the atom in μB.
Atoms (fractional coordinates):
O (0.3870, 0.8870, 0.5000)  -0.04
O (0.6130, 0.1130, 0.5000)  -0.04
O (0.1130, 0.6130, 0.5000)  -0.04
O (0.2098, 0.2098, 0.0000)  -0.01
O (0.7902, 0.7902, 0.0000)  -0.01
O (0.0000, 0.0000, 0.0000)  -0.04
O (0.8870, 0.3870, 0.5000)  -0.04
Tb (0.3171, 0.3171, 0.0000)  0.02
Tb (0.6829, 0.6829, 0.0000)  0.02
Mn (0.1037, 0.1037, 0.0000)  3.98
Mn (0.8963, 0.8963, 0.0000)  3.98
Ba (0.5000, 0.5000, 0.0000)  0.00

---

3.
## BaTbMn2O6 (GGA+U)

Data for a relaxed BaTbMn2O6 crystal.

Results
E in eV/atom: -7.40
Crystal system: orthorhombic
DOS at the Fermi energy in states/eV per atom: 0.183

a b c (Å): 5.5768 5.5768 7.7845
angles (deg): 90.00 90.00 91.15
Last column: magnetic moment on the atom in μB.
Atoms (fractional coordinates):
O (0.0000, 0.0000, 0.2359)  -0.09
O (0.0000, 0.5000, 0.7128)  -0.07
O (0.2725, 0.2725, 0.0000)  -0.05
O (0.7275, 0.7275, 0.0000)  -0.05
O (0.5000, 0.0000, 0.7128)  -0.07
O (0.8120, 0.8120, 0.5000)  -0.13
O (0.0000, 0.5000, 0.2872)  -0.07
O (0.5000, 0.0000, 0.2872)  -0.07
O (0.5000, 0.5000, 0.3141)  -0.07
O (0.0000, 0.0000, 0.7641)  -0.09
O (0.1880, 0.1880, 0.5000)  -0.13
O (0.5000, 0.5000, 0.6859)  -0.07
Mn (0.7490, 0.7490, 0.7415)  3.66
Mn (0.2510, 0.2510, 0.7415)  3.66
Mn (0.7490, 0.7490, 0.2585)  3.66
Mn (0.2510, 0.2510, 0.2585)  3.66
Ba (0.2462, 0.7538, 0.0000)  0.01
Ba (0.7538, 0.2462, 0.0000)  0.01
Tb (0.2365, 0.7635, 0.5000)  0.04
Tb (0.7635, 0.2365, 0.5000)  0.04